[1]
DFT (PBE) results for crystalline Sr2Sb2Au15 at its relaxed geometry.

The value obtained for the energy relative to the elements, uncorrected is -0.27 eV/atom. Its total energy is -3.47 eV per atom. The total magnetization is 0.000 μB per atom. The calculation puts the density of states at the Fermi level at 7.3 states/eV/f.u.

Unit cell a=7.436 b=7.436 c=7.436 alpha=84.09 beta=84.09 gamma=84.09
Element x y z (fractional)
Sr 0.351 0.351 0.351
Sr 0.649 0.649 0.649
Sb 0.102 0.102 0.102
Sb 0.898 0.898 0.898
Au 0.500 0.000 0.000
Au 0.000 0.000 0.500
Au 0.000 0.500 0.000
Au 0.000 0.671 0.329
Au 0.671 0.329 0.000
Au 0.329 0.000 0.671
Au 0.329 0.671 0.000
Au 0.671 0.000 0.329
Au 0.000 0.329 0.671
Au 0.171 0.660 0.660
Au 0.660 0.660 0.171
Au 0.660 0.171 0.660
Au 0.829 0.340 0.340
Au 0.340 0.340 0.829
Au 0.340 0.829 0.340

***

[2]
DFT (PBE) results for crystalline In2FeP at its relaxed geometry.

Its total energy is -4.26 eV per atom. The total magnetization is 0.728 μB per atom. The calculation puts the density of states at the Fermi level at 4.2 states/eV/f.u.

Unit cell a=4.817 b=4.817 c=4.817 alpha=60.00 beta=60.00 gamma=60.00
Last column: magnetic moment on the atom in μB.
Element x y z (fractional)
Fe 0.500 0.500 0.500  2.85
In 0.000 0.000 0.000  0.02
In 0.250 0.250 0.250  -0.02
P 0.750 0.750 0.750  0.03

***

[3]
DFT (PBE) results for crystalline AlHgTe2O8 at its relaxed geometry.

The value obtained for the energy relative to the elements, uncorrected is -0.94 eV/atom. Its total energy is -5.11 eV per atom. The total magnetization is 0.000 μB per atom. The calculation puts the density of states at the Fermi level at 2.5 states/eV/f.u.

Unit cell a=5.502 b=6.439 c=6.420 alpha=45.05 beta=64.63 gamma=64.71
Element x y z (fractional)
Al 0.000 0.000 0.000
Hg 0.500 0.500 0.500
Te 0.233 0.234 0.300
Te 0.767 0.766 0.700
O 0.916 0.401 0.766
O 0.681 0.510 0.129
O 0.084 0.599 0.234
O 0.319 0.490 0.871
O 0.634 0.952 0.316
O 0.366 0.048 0.684
O 0.098 0.952 0.316
O 0.902 0.048 0.684

***

[4]
DFT (PBE) results for crystalline SrGa6Au2 at its relaxed geometry.

Its total energy is -3.22 eV per atom. The total magnetization is 0.000 μB per atom. The calculation puts the density of states at the Fermi level at 3.6 states/eV/f.u.

Unit cell a=4.262 b=4.262 c=10.321 alpha=90.00 beta=90.00 gamma=90.00
Element x y z (fractional)
Sr 0.000 0.000 0.000
Ga 0.000 0.500 0.301
Ga 0.500 0.000 0.301
Ga 0.000 0.500 0.699
Ga 0.500 0.000 0.699
Ga 0.500 0.500 0.500
Ga 0.000 0.000 0.500
Au 0.500 0.500 0.136
Au 0.500 0.500 0.864

***

Which of these has the lowest total energy? AlHgTe2O8

***

What did the fourth record say?
DFT (PBE) results for crystalline SrGa6Au2 at its relaxed geometry.

Its total energy is -3.22 eV per atom. The total magnetization is 0.000 μB per atom. The calculation puts the density of states at the Fermi level at 3.6 states/eV/f.u.

Unit cell a=4.262 b=4.262 c=10.321 alpha=90.00 beta=90.00 gamma=90.00
Element x y z (fractional)
Sr 0.000 0.000 0.000
Ga 0.000 0.500 0.301
Ga 0.500 0.000 0.301
Ga 0.000 0.500 0.699
Ga 0.500 0.000 0.699
Ga 0.500 0.500 0.500
Ga 0.000 0.000 0.500
Au 0.500 0.500 0.136
Au 0.500 0.500 0.864

***

Which value of total energy does entry 1 give? -3.47 eV per atom